Record 1
An optimized crystal structure of AlCd2AgSe4, computed with PBE-GGA.

a b c (Å): 7.289 7.289 6.122
angles (deg): 65.17 65.17 49.66
Sites, in units of the cell vectors:
Al (0.000, 0.000, 0.000)
Cd (0.250, 0.250, 0.250)
Cd (0.750, 0.750, 0.750)
Ag (0.499, 0.499, 0.501)
Se (0.116, 0.652, 0.348)
Se (0.348, 0.884, 0.652)
Se (0.652, 0.116, 0.884)
Se (0.884, 0.348, 0.116)

Calculated values
raw formation energy: -60.29 kJ/mol of atoms
energy: -3.42 eV per atom
SG: Fmm2 (42)


Record 2
An optimized crystal structure of TaCo2BH, computed with PBE-GGA.

a b c (Å): 4.497 4.497 3.241
angles (deg): 90.00 90.00 90.00
Sites, in units of the cell vectors:
Ta (0.000, 0.000, 0.000)
Co (0.000, 0.500, 0.000)
Co (0.500, 0.000, 0.000)
B (0.500, 0.500, 0.500)
H (0.000, 0.000, 0.500)

Calculated values
energy: -5.63 eV per atom
density of states at the Fermi level: 3.73 states/eV per cell
SG: P4/mmm (123)


Record 3
An optimized crystal structure of Nd2Cu17, computed with PBE-GGA.

a b c (Å): 6.514 6.514 6.514
angles (deg): 82.85 82.85 82.85
Sites, in units of the cell vectors:
Nd (0.158, 0.158, 0.158)
Nd (0.842, 0.842, 0.842)
Cu (0.000, 0.500, 0.500)
Cu (0.156, 0.156, 0.653)
Cu (0.156, 0.653, 0.156)
Cu (0.209, 0.500, 0.791)
Cu (0.209, 0.791, 0.500)
Cu (0.347, 0.844, 0.844)
Cu (0.403, 0.403, 0.403)
Cu (0.500, 0.000, 0.500)
Cu (0.500, 0.209, 0.791)
Cu (0.500, 0.500, 0.000)
Cu (0.500, 0.791, 0.209)
Cu (0.597, 0.597, 0.597)
Cu (0.653, 0.156, 0.156)
Cu (0.791, 0.209, 0.500)
Cu (0.791, 0.500, 0.209)
Cu (0.844, 0.347, 0.844)
Cu (0.844, 0.844, 0.347)

Calculated values
energy: -4.27 eV per atom
density of states at the Fermi level: 7.81 states/eV per cell
E_form: -10 kJ/mol of atoms
SG: R-3m (166)


Record 4
An optimized crystal structure of KMgBr2, computed with PBE-GGA.

a b c (Å): 3.907 3.907 7.875
angles (deg): 90.00 90.00 90.00
Sites, in units of the cell vectors:
K (0.000, 0.000, 0.000)
Mg (0.000, 0.000, 0.500)
Br (0.500, 0.500, 0.261)
Br (0.500, 0.500, 0.739)

Calculated values
raw formation energy: -94.24 kJ/mol of atoms
energy: -2.49 eV per atom
density of states at the Fermi level: 1.90 states/eV per cell
SG: P4/mmm (123)
energy above the lowest structure with this stoichiometry: 16.35 kJ/mol of atoms


Record 5
An optimized crystal structure of TmBeZn2, computed with PBE-GGA.

a b c (Å): 4.022 4.022 14.640
angles (deg): 90.00 90.00 120.00
Sites, in units of the cell vectors:
Tm (0.000, 0.000, 0.000)
Tm (0.333, 0.667, 0.667)
Tm (0.667, 0.333, 0.333)
Be (0.000, 0.000, 0.500)
Be (0.333, 0.667, 0.167)
Be (0.667, 0.333, 0.833)
Zn (0.000, 0.000, 0.207)
Zn (0.000, 0.000, 0.793)
Zn (0.333, 0.667, 0.459)
Zn (0.333, 0.667, 0.874)
Zn (0.667, 0.333, 0.126)
Zn (0.667, 0.333, 0.541)

Calculated values
energy: -2.82 eV per atom
density of states at the Fermi level: 7.53 states/eV per cell
E_form: -13 kJ/mol of atoms
SG: R-3m (166)


Record 6
An optimized crystal structure of Ba2LiAlH, computed with PBE-GGA.

a b c (Å): 5.751 5.751 4.385
angles (deg): 90.00 90.00 90.00
Sites, in units of the cell vectors:
Ba (0.000, 0.500, 0.000)
Ba (0.500, 0.000, 0.000)
Li (0.000, 0.000, 0.500)
Al (0.500, 0.500, 0.500)
H (0.500, 0.500, 0.000)

Calculated values
energy: -2.65 eV per atom
density of states at the Fermi level: 3.53 states/eV per cell
SG: P4/mmm (123)
energy above the lowest structure with this stoichiometry: 10.65 kJ/mol of atoms


Record 7
An optimized crystal structure of HfZr3H7, computed with PBE-GGA.

a b c (Å): 5.519 5.519 7.077
angles (deg): 90.00 90.00 81.70
Sites, in units of the cell vectors:
Hf (0.000, 0.000, 0.000)
Hf (0.000, 0.000, 0.500)
Zr (0.002, 0.502, 0.750)
Zr (0.498, 0.998, 0.750)
Zr (0.500, 0.500, 0.000)
Zr (0.500, 0.500, 0.500)
Zr (0.502, 0.002, 0.250)
Zr (0.998, 0.498, 0.250)
H (0.124, 0.631, 0.003)
H (0.124, 0.631, 0.497)
H (0.135, 0.865, 0.750)
H (0.369, 0.370, 0.250)
H (0.369, 0.876, 0.003)
H (0.369, 0.876, 0.497)
H (0.370, 0.369, 0.750)
H (0.630, 0.631, 0.250)
H (0.631, 0.124, 0.503)
H (0.631, 0.124, 0.997)
H (0.631, 0.630, 0.750)
H (0.865, 0.135, 0.250)
H (0.876, 0.369, 0.503)
H (0.876, 0.369, 0.997)

Calculated values
energy: -5.87 eV per atom
density of states at the Fermi level: 7.81 states/eV per cell
SG: Cmcm (63)


Record 8
An optimized crystal structure of Mg2TaAs, computed with PBE-GGA.

a b c (Å): 2.902 4.976 5.374
angles (deg): 90.00 104.00 90.00
Sites, in units of the cell vectors:
Mg (0.132, 0.000, 0.251)
Mg (0.868, 0.000, 0.749)
Ta (0.500, 0.500, 0.000)
As (0.500, 0.500, 0.500)

Calculated values
energy: -4.81 eV per atom
density of states at the Fermi level: 1.84 states/eV per cell
E_form: 11 kJ/mol of atoms
SG: P2/m (10)


| no. | total moment (μB/cell) |
| --- | --- |
| 1 | 0.000 |
| 2 | 0.579 |
| 3 | 0.000 |
| 4 | 0.827 |
| 5 | 0.000 |
| 6 | 0.473 |
| 7 | 0.000 |
| 8 | 0.000 |